No. 1
## BaTiReO2 (PBE)

Data for an optimized crystal structure of BaTiReO2.

Results
As for the magnetization: 1.9 μB/f.u. As for the space group: P4/mmm, No. 123. The value obtained for the calculated volume is 85 Å³ per cell. The calculation puts the total energy at -0.2577 hartree per atom.

Lattice parameters (Å, degrees): 4.113 5.003 4.113 90.00 90.00 90.00
Site moments in Bohr magnetons follow the coordinates.
Fractional positions:
Re 0.000 0.500 0.000  1.45
O 0.500 0.000 0.000  0.17
Ti 0.000 0.000 0.000  -0.14
O 0.000 0.000 0.500  0.12
Ba 0.500 0.500 0.500  0.02

---

No. 2
## LaCrRe2 (PBE)

Data for an optimized crystal structure of LaCrRe2.

Results
As for the magnetization: 0.0 μB/f.u. The energy above the lowest structure with this stoichiometry is 0.3985 eV per atom. As for the space group: Fm-3m, No. 225. The value obtained for the calculated volume is 68 Å³ per cell. The formation energy is 0.742 eV per atom. The calculation puts the total energy at -0.3351 hartree per atom.

Lattice parameters (Å, degrees): 4.585 4.585 4.585 60.00 60.00 60.00
Fractional positions:
La 0.500 0.500 0.500
Re 0.750 0.750 0.750
Cr 0.000 0.000 0.000
Re 0.250 0.250 0.250

---

No. 3
## K2Th3Te6 (PBE)

Data for an optimized crystal structure of K2Th3Te6.

Results
As for the magnetization: 0.0 μB/f.u. As for the space group: C2/m, No. 12. The value obtained for the calculated volume is 442 Å³ per cell. The calculation puts the total energy at -0.1883 hartree per atom.

Lattice parameters (Å, degrees): 7.690 7.690 9.005 81.80 73.42 60.00
Fractional positions:
Te 0.736 0.000 0.784
K 0.167 0.667 0.500
Th 0.332 0.335 0.000
Th 0.668 0.665 0.000
Te 0.076 0.330 0.782
K 0.833 0.333 0.500
Te 0.594 0.330 0.218
Te 0.264 0.000 0.216
Te 0.924 0.670 0.218
Th 0.000 0.000 0.000
Te 0.406 0.670 0.782